No. 1
Zr2SnPb2 | PBE-GGA | optimized geometry

Cell: 8.190 8.190 3.876 Å, 90.00 90.00 90.00°
Atoms (fractional coordinates):
Pb 0.349 0.849 0.000
Pb 0.849 0.651 0.000
Pb 0.651 0.151 0.000
Pb 0.151 0.349 0.000
Sn 0.000 0.000 0.000
Sn 0.500 0.500 0.000
Zr 0.144 0.644 0.500
Zr 0.644 0.856 0.500
Zr 0.856 0.356 0.500
Zr 0.356 0.144 0.500

Computed properties:
space group: P4/mbm, No. 127
relative energy among the computed polymorphs: 258 meV per atom


No. 2
Zr2SnPb | PBE-GGA | optimized geometry

Cell: 7.962 7.962 6.465 Å, 51.99 51.99 90.00°
Atoms (fractional coordinates):
Pb 0.000 0.000 0.000
Pb 0.750 0.250 0.500
Sn 0.500 0.500 0.000
Sn 0.250 0.750 0.500
Zr 0.621 0.125 0.250
Zr 0.129 0.625 0.250
Zr 0.375 0.379 0.750
Zr 0.875 0.871 0.750

Computed properties:
space group: I-42d, No. 122
relative energy among the computed polymorphs: 165 meV per atom


No. 3
Zr3SnPb | PBE-GGA | optimized geometry

Cell: 5.307 5.307 5.307 Å, 90.00 90.00 90.00°
Atoms (fractional coordinates):
Pb 0.500 0.500 0.500
Sn 0.000 0.000 0.000
Zr 0.000 0.500 0.000
Zr 0.000 0.000 0.500
Zr 0.500 0.000 0.000

Computed properties:
space group: Pm-3m, No. 221
relative energy among the computed polymorphs: 897 meV per atom


No. 4
Zr2SnPb | PBE-GGA | optimized geometry

Cell: 4.205 4.205 7.128 Å, 72.84 72.84 60.00°
Atoms (fractional coordinates):
Pb 0.500 0.500 0.500
Sn 0.000 0.000 0.000
Zr 0.252 0.252 0.244
Zr 0.748 0.748 0.756

Computed properties:
space group: R-3m, No. 166
relative energy among the computed polymorphs: 67 meV per atom


No. 5
ZrSnPb2 | PBE-GGA | optimized geometry

Cell: 6.835 6.835 8.246 Å, 65.51 65.51 90.00°
Atoms (fractional coordinates):
Pb 0.619 0.125 0.250
Pb 0.131 0.625 0.250
Pb 0.375 0.381 0.750
Pb 0.875 0.869 0.750
Sn 0.000 0.000 0.000
Sn 0.750 0.250 0.500
Zr 0.500 0.500 0.000
Zr 0.250 0.750 0.500

Computed properties:
space group: I-42d, No. 122
relative energy among the computed polymorphs: 321 meV per atom


No. 6
Zr2SnPb | PBE-GGA | optimized geometry

Cell: 4.310 4.649 4.649 Å, 90.00 90.00 90.00°
Atoms (fractional coordinates):
Pb 0.500 0.500 0.500
Sn 0.500 0.000 0.000
Zr 0.000 0.000 0.500
Zr 0.000 0.500 0.000

Computed properties:
space group: P4/mmm, No. 123
relative energy among the computed polymorphs: 14 meV per atom


No. 7
ZrSn2Pb2 | PBE-GGA | optimized geometry

Cell: 7.753 7.753 4.721 Å, 90.00 90.00 90.00°
Atoms (fractional coordinates):
Pb 0.169 0.669 0.500
Pb 0.669 0.831 0.500
Pb 0.831 0.331 0.500
Pb 0.331 0.169 0.500
Sn 0.362 0.862 0.000
Sn 0.862 0.638 0.000
Sn 0.638 0.138 0.000
Sn 0.138 0.362 0.000
Zr 0.000 0.000 0.000
Zr 0.500 0.500 0.000

Computed properties:
space group: P4/mbm, No. 127


No. 8
ZrSnPb2 | PBE-GGA | optimized geometry

Cell: 5.373 5.373 5.373 Å, 60.00 60.00 60.00°
Atoms (fractional coordinates):
Pb 0.250 0.250 0.250
Pb 0.750 0.750 0.750
Sn 0.500 0.500 0.500
Zr 0.000 0.000 0.000

Computed properties:
space group: Fm-3m, No. 225
relative energy among the computed polymorphs: 0 meV per atom


No. 9
Zr2SnPb | PBE-GGA | optimized geometry

Cell: 5.096 5.096 5.096 Å, 60.00 60.00 60.00°
Atoms (fractional coordinates):
Pb 0.500 0.500 0.500
Sn 0.000 0.000 0.000
Zr 0.250 0.250 0.250
Zr 0.750 0.750 0.750

Computed properties:
space group: Fm-3m, No. 225
relative energy among the computed polymorphs: 129 meV per atom


No. 10
Zr3SnPb | PBE-GGA | optimized geometry

Cell: 3.724 7.754 8.517 Å, 78.30 90.00 90.00°
Atoms (fractional coordinates):
Zr 0.750 0.660 0.372
Zr 0.250 0.340 0.628
Zr 0.750 0.306 0.027
Zr 0.250 0.859 0.587
Zr 0.250 0.694 0.973
Zr 0.750 0.141 0.413
Sn 0.250 0.417 0.264
Sn 0.750 0.583 0.736
Pb 0.250 0.966 0.195
Pb 0.750 0.034 0.805

Computed properties:
space group: P2_1/m, No. 11
relative energy among the computed polymorphs: 0 meV per atom


No. 11
ZrSnPb3 | PBE-GGA | optimized geometry

Cell: 5.688 5.688 5.688 Å, 90.00 90.00 90.00°
Atoms (fractional coordinates):
Pb 0.000 0.500 0.000
Pb 0.000 0.000 0.500
Pb 0.500 0.000 0.000
Sn 0.000 0.000 0.000
Zr 0.500 0.500 0.500

Computed properties:
space group: Pm-3m, No. 221
relative energy among the computed polymorphs: 563 meV per atom


No. 12
Zr2SnPb | PBE-GGA | optimized geometry

Cell: 3.293 3.293 8.585 Å, 90.00 90.00 90.00°
Atoms (fractional coordinates):
Pb 0.500 0.500 0.500
Sn 0.500 0.500 0.000
Zr 0.000 0.000 0.760
Zr 0.000 0.000 0.240

Computed properties:
space group: P4/mmm, No. 123
relative energy among the computed polymorphs: 0 meV per atom


No. 13
ZrSn2Pb | PBE-GGA | optimized geometry

Cell: 4.349 4.349 11.744 Å, 79.33 79.33 90.00°
Atoms (fractional coordinates):
Pb 0.000 0.000 0.000
Pb 0.750 0.250 0.500
Sn 0.615 0.125 0.250
Sn 0.135 0.625 0.250
Sn 0.375 0.385 0.750
Sn 0.875 0.865 0.750
Zr 0.500 0.500 0.000
Zr 0.250 0.750 0.500

Computed properties:
space group: I-42d, No. 122
relative energy among the computed polymorphs: 0 meV per atom


No. 14
SrPb2 | PBE-GGA | optimized geometry

Cell: 10.617 10.617 10.617 Å, 154.47 154.47 36.42°
Atoms (fractional coordinates):
Sr 0.000 0.000 0.000
Sr 0.750 0.250 0.500
Pb 0.578 0.578 0.000
Pb 0.172 0.672 0.500
Pb 0.422 0.422 0.000
Pb 0.328 0.828 0.500

Computed properties:
space group: I4_1/amd, No. 141


No. 15
SrPb4 | PBE-GGA | optimized geometry

Cell: 8.204 8.204 8.204 Å, 144.99 144.99 50.34°
Atoms (fractional coordinates):
Sr 0.000 0.000 0.000
Pb 0.250 0.750 0.500
Pb 0.750 0.250 0.500
Pb 0.397 0.397 0.000
Pb 0.603 0.603 0.000

Computed properties:
space group: I4/mmm, No. 139


No. 16
Sr3Pb | PBE-GGA | optimized geometry

Cell: 7.270 7.270 7.270 Å, 116.93 116.93 116.93°
Atoms (fractional coordinates):
Pb 0.000 0.000 0.000
Sr 0.500 0.000 0.500
Sr 0.500 0.500 0.000
Sr 0.000 0.500 0.500

Computed properties:
space group: R-3m, No. 166


No. 17
Sr2Pb | PBE-GGA | optimized geometry

Cell: 8.939 8.939 5.214 Å, 90.00 90.00 120.00°
Atoms (fractional coordinates):
Pb 0.333 0.667 0.000
Pb 0.667 0.333 0.000
Pb 0.000 0.000 0.500
Sr 0.256 0.000 0.000
Sr 0.000 0.256 0.000
Sr 0.744 0.744 0.000
Sr 0.583 0.000 0.500
Sr 0.000 0.583 0.500
Sr 0.417 0.417 0.500

Computed properties:
space group: P-62m, No. 189


No. 18
Sr2Pb | PBE-GGA | optimized geometry

Cell: 5.484 8.430 10.256 Å, 90.00 90.00 90.00°
Atoms (fractional coordinates):
Pb 0.250 0.252 0.894
Pb 0.750 0.248 0.394
Pb 0.750 0.748 0.106
Pb 0.250 0.752 0.606
Sr 0.250 0.841 0.927
Sr 0.750 0.659 0.427
Sr 0.750 0.159 0.073
Sr 0.250 0.341 0.573
Sr 0.250 0.980 0.316
Sr 0.750 0.520 0.816
Sr 0.750 0.020 0.684
Sr 0.250 0.480 0.184

Computed properties:
space group: Pnma, No. 62


No. 19
Sr2Pb | PBE-GGA | optimized geometry

Cell: 7.216 7.216 9.499 Å, 70.38 70.38 31.07°
Atoms (fractional coordinates):
Sr 0.149 0.149 0.896
Sr 0.851 0.851 0.104
Sr 0.126 0.126 0.482
Sr 0.874 0.874 0.518
Pb 0.555 0.555 0.220
Pb 0.445 0.445 0.780

Computed properties:
space group: C2/m, No. 12


No. 20
SrPb2 | PBE-GGA | optimized geometry

Cell: 6.673 6.673 6.973 Å, 66.78 66.78 47.58°
Atoms (fractional coordinates):
Sr 0.185 0.185 0.768
Sr 0.815 0.815 0.232
Pb 0.878 0.878 0.696
Pb 0.498 0.498 0.242
Pb 0.502 0.502 0.758
Pb 0.122 0.122 0.304

Computed properties:
space group: C2/m, No. 12


No. 21
SrPb4 | PBE-GGA | optimized geometry

Cell: 6.047 6.047 6.047 Å, 90.00 90.00 90.00°
Atoms (fractional coordinates):
Pb 0.000 0.000 0.000
Pb 0.500 0.000 0.500
Pb 0.000 0.500 0.500
Pb 0.500 0.500 0.000
Sr 0.500 0.500 0.500

Computed properties:
space group: Pm-3m, No. 221


No. 22
SrPb4 | PBE-GGA | optimized geometry

Cell: 6.359 6.359 6.359 Å, 109.47 109.47 109.47°
Atoms (fractional coordinates):
Sr 0.000 0.000 0.000
Pb 0.500 0.000 0.000
Pb 0.500 0.500 0.500
Pb 0.000 0.500 0.000
Pb 0.000 0.000 0.500

Computed properties:
space group: Im-3m, No. 229


No. 23
Sr4Pb3 | PBE-GGA | optimized geometry

Cell: 5.811 5.811 9.969 Å, 73.05 73.05 60.00°
Atoms (fractional coordinates):
Sr 0.623 0.623 0.130
Sr 0.875 0.875 0.374
Sr 0.125 0.125 0.626
Sr 0.377 0.377 0.870
Pb 0.249 0.249 0.253
Pb 0.751 0.751 0.747
Pb 0.000 0.000 0.000

Computed properties:
space group: R-3m, No. 166
relative energy among the computed polymorphs: 0 meV per atom


No. 24
Sr3Pb5 | PBE-GGA | optimized geometry

Cell: 10.468 10.468 6.136 Å, 90.00 90.00 120.00°
Atoms (fractional coordinates):
Pb 0.333 0.667 0.000
Pb 0.667 0.333 0.500
Pb 0.667 0.333 0.000
Pb 0.333 0.667 0.500
Pb 0.178 0.000 0.250
Pb 0.822 0.000 0.750
Pb 0.000 0.178 0.250
Pb 0.822 0.822 0.250
Pb 0.178 0.178 0.750
Pb 0.000 0.822 0.750
Sr 0.624 0.000 0.250
Sr 0.376 0.000 0.750
Sr 0.000 0.624 0.250
Sr 0.376 0.376 0.250
Sr 0.624 0.624 0.750
Sr 0.000 0.376 0.750

Computed properties:
space group: P6_3/mcm, No. 193
relative energy among the computed polymorphs: 119 meV per atom


No. 25
Sr3Pb | PBE-GGA | optimized geometry

Cell: 12.462 12.462 12.462 Å, 19.34 19.34 19.34°
Atoms (fractional coordinates):
Pb 0.000 0.000 0.000
Sr 0.734 0.734 0.734
Sr 0.500 0.500 0.500
Sr 0.266 0.266 0.266

Computed properties:
space group: R-3m, No. 166


No. 26
SrPb2 | PBE-GGA | optimized geometry

Cell: 6.588 6.588 6.588 Å, 143.04 143.04 53.27°
Atoms (fractional coordinates):
Pb 0.687 0.687 0.000
Pb 0.313 0.313 0.000
Sr 0.000 0.000 0.000

Computed properties:
space group: I4/mmm, No. 139


Number 1: E -5.60 eV/atom. Number 2: E -6.29 eV/atom. Number 3: E -6.02 eV/atom. Number 4: E -6.39 eV/atom. Number 5: E -4.40 eV/atom. Number 6: E -6.44 eV/atom. Number 7: E -4.69 eV/atom. Number 8: E -4.72 eV/atom. Number 9: E -6.32 eV/atom. Number 10: E -6.92 eV/atom. Number 11: E -3.73 eV/atom. Number 12: E -6.45 eV/atom. Number 13: E -5.02 eV/atom. Number 14: E -3.32 eV/atom. Number 15: E -3.47 eV/atom. Number 16: E -2.30 eV/atom. Number 17: E -2.88 eV/atom. Number 18: E -2.91 eV/atom. Number 19: E -2.73 eV/atom. Number 20: E -3.40 eV/atom. Number 21: E -2.61 eV/atom. Number 22: E -3.08 eV/atom. Number 23: E -2.99 eV/atom. Number 24: E -3.23 eV/atom. Number 25: E -2.37 eV/atom. Number 26: E -3.34 eV/atom.